## WINF2 (PBE with a Hubbard U)

Data for WINF2 after structural relaxation.

Lattice parameters (Å, degrees): 4.7205 4.7205 3.9052 90.00 90.00 90.00
Last column: nearest neighbours and their distance in Å.
Element x y z (fractional)
W: 0.0000 0.0000 0.0000  2 N 1.95
I: 0.5000 0.5000 0.0000  8 F 3.06, 4 W 3.34
N: 0.0000 0.0000 0.5000  2 W 1.95
F: 0.0000 0.5000 0.5000  2 N 2.36
F: 0.5000 0.0000 0.5000  2 N 2.36

Results
The volume comes out at 87.0 Å³/cell. Its polymorph energy (0 for the lowest one) is 0.935 eV/atom. Its space-group type is P4/mmm.